i | A relaxed structure of PIrC, computed with PBE-GGA.

Results
Total magnetization in μB per formula unit: 0.00

abc: 4.5875 2.8070 7.3990
angles: 90.00 111.91 90.00
With the nearest neighbours (Å) after each atom.
Fractional positions:
1 Ir 0.6772 0.0000 0.9064  2 C 1.98
2 P 0.9436 0.0000 0.2461  1 C 1.72
3 Ir 0.6772 0.5000 0.4064  2 C 1.98
4 P 0.9436 0.5000 0.7461  1 C 1.72
5 C 0.3484 0.0000 0.3440  1 P 1.72
6 C 0.3484 0.5000 0.8440  1 P 1.72

ii | A relaxed structure of PIrC, computed with PBE-GGA.

Results
Total magnetization in μB per formula unit: 0.00

abc: 2.8275 3.6003 4.3678
angles: 73.50 71.12 66.88
With the nearest neighbours (Å) after each atom.
Fractional positions:
1 P 0.0295 0.3520 0.6833  1 C 1.75
2 C 0.8424 0.2972 0.1136  1 P 1.75
3 Ir 0.4433 0.8459 0.3619  3 C 2.17-2.24, 3 P 2.32-2.38

iii | A relaxed structure of PIrC, computed with PBE-GGA.

Results
Total magnetization in μB per formula unit: 0.00

abc: 2.8230 2.8230 15.6483
angles: 90.00 90.00 120.00
With the nearest neighbours (Å) after each atom.
Fractional positions:
1 C 0.3333 0.6667 0.3149  3 P 1.81
2 P 0.6667 0.3333 0.6982  3 C 1.81
3 P 0.3333 0.6667 0.0316  3 C 1.81
4 Ir 0.0000 0.0000 0.5125  1 C 2.12, 1 P 2.31
5 C 0.6667 0.3333 0.9816  3 P 1.81
6 Ir 0.3333 0.6667 0.1792  1 C 2.12, 1 P 2.31
7 Ir 0.6667 0.3333 0.8458  1 C 2.12, 1 P 2.31
8 C 0.0000 0.0000 0.6483  3 P 1.81
9 P 0.0000 0.0000 0.3649  3 C 1.81

Relative energy of each structure, in kJ/mol of atoms: i 28.2; ii 19.4; iii 0.0.

i | A relaxed structure of PIr2C, computed with PBE-GGA.

Results
Total magnetization in μB per formula unit: 0.00

abc: 4.0749 4.0749 4.0749
angles: 60.00 60.00 60.00
With the nearest neighbours (Å) after each atom.
Fractional positions:
1 C 0.0000 0.0000 0.0000  8 Ir 2.50
2 P 0.5000 0.5000 0.5000  8 Ir 2.50
3 Ir 0.7500 0.7500 0.7500  4 C 2.50, 4 P 2.50
4 Ir 0.2500 0.2500 0.2500  4 C 2.50, 4 P 2.50

ii | A relaxed structure of PIr2C, computed with PBE-GGA.

Results
Total magnetization in μB per formula unit: 0.00

abc: 4.9080 4.9080 6.0634
angles: 66.13 66.13 90.00
With the nearest neighbours (Å) after each atom.
Fractional positions:
1 C 0.2500 0.7500 0.5000  4 Ir 2.00
2 Ir 0.5745 0.1250 0.2500  2 C 2.00
3 Ir 0.3750 0.4255 0.7500  2 C 2.00
4 P 0.7500 0.2500 0.5000  4 Ir 2.29
5 P 0.0000 0.0000 0.0000  4 Ir 2.29
6 C 0.5000 0.5000 0.0000  4 Ir 2.00
7 Ir 0.1755 0.6250 0.2500  2 C 2.00
8 Ir 0.8750 0.8245 0.7500  2 C 2.00

Relative energy of each structure, in kJ/mol of atoms: i 88.3; ii 0.0.

i | A relaxed structure of PIrC3, computed with PBE-GGA.

Results
Total magnetization in μB per formula unit: 0.00

abc: 4.0006 4.0006 4.0006
angles: 90.00 90.00 90.00
With the nearest neighbours (Å) after each atom.
Fractional positions:
1 P 0.5000 0.5000 0.5000  12 C 2.83
2 C 0.0000 0.0000 0.5000  2 Ir 2.00
3 Ir 0.0000 0.0000 0.0000  6 C 2.00
4 C 0.0000 0.5000 0.0000  2 Ir 2.00
5 C 0.5000 0.0000 0.0000  2 Ir 2.00

ii | A relaxed structure of PIrC3, computed with PBE-GGA.

Results
Total magnetization in μB per formula unit: 0.00

abc: 3.6337 3.6337 3.6337
angles: 90.00 90.00 90.00
With the nearest neighbours (Å) after each atom.
Fractional positions:
1 P 0.0000 0.0000 0.0000  6 C 1.82
2 Ir 0.5000 0.5000 0.5000  12 C 2.57
3 C 0.0000 0.5000 0.0000  2 P 1.82
4 C 0.5000 0.0000 0.0000  2 P 1.82
5 C 0.0000 0.0000 0.5000  2 P 1.82

Relative energy of each structure, in kJ/mol of atoms: i 26.1; ii 0.0.

i | A relaxed structure of IrPb3C, computed with PBE-GGA.

Results
Total magnetization in μB per formula unit: 0.00

abc: 4.8292 4.8292 4.8292
angles: 90.00 90.00 90.00
With the nearest neighbours (Å) after each atom.
Fractional positions:
1 Pb 0.0000 0.0000 0.5000  2 C 2.41
2 Pb 0.0000 0.5000 0.0000  2 C 2.41
3 Ir 0.5000 0.5000 0.5000  12 Pb 3.41
4 C 0.0000 0.0000 0.0000  6 Pb 2.41
5 Pb 0.5000 0.0000 0.0000  2 C 2.41

ii | A relaxed structure of IrPb3C, computed with PBE-GGA.

Results
Total magnetization in μB per formula unit: 1.11

abc: 5.2832 5.2832 5.2832
angles: 90.00 90.00 90.00
With the nearest neighbours (Å) after each atom.
Fractional positions:
1 Ir 0.0000 0.0000 0.0000  6 Pb 2.64
2 C 0.5000 0.5000 0.5000  12 Pb 3.74
3 Pb 0.5000 0.0000 0.0000  2 Ir 2.64
4 Pb 0.0000 0.5000 0.0000  2 Ir 2.64
5 Pb 0.0000 0.0000 0.5000  2 Ir 2.64

Relative energy of each structure, in kJ/mol of atoms: i 0.0; ii 17.2.

i | A relaxed structure of IrPbC3, computed with PBE-GGA.

Results
Total magnetization in μB per formula unit: 0.00

abc: 4.0991 4.0991 4.0991
angles: 90.00 90.00 90.00
With the nearest neighbours (Å) after each atom.
Fractional positions:
1 Ir 0.0000 0.0000 0.0000  6 C 2.05
2 C 0.0000 0.0000 0.5000  2 Ir 2.05
3 Pb 0.5000 0.5000 0.5000  12 C 2.90
4 C 0.5000 0.0000 0.0000  2 Ir 2.05
5 C 0.0000 0.5000 0.0000  2 Ir 2.05

ii | A relaxed structure of IrPbC3, computed with PBE-GGA.

Results
Total magnetization in μB per formula unit: 0.00

abc: 4.3166 4.3166 4.3166
angles: 90.00 90.00 90.00
With the nearest neighbours (Å) after each atom.
Fractional positions:
1 C 0.0000 0.5000 0.0000  2 Pb 2.16
2 C 0.0000 0.0000 0.5000  2 Pb 2.16
3 Ir 0.5000 0.5000 0.5000  12 C 3.05
4 Pb 0.0000 0.0000 0.0000  6 C 2.16
5 C 0.5000 0.0000 0.0000  2 Pb 2.16

Relative energy of each structure, in kJ/mol of atoms: i 0.0; ii 184.4.

i | A relaxed structure of IrPdC3, computed with PBE-GGA.

Results
Total magnetization in μB per formula unit: 0.00

abc: 3.9512 3.9512 3.9512
angles: 90.00 90.00 90.00
With the nearest neighbours (Å) after each atom.
Fractional positions:
1 C 0.0000 0.5000 0.0000  2 Pd 1.98
2 Pd 0.0000 0.0000 0.0000  6 C 1.98
3 Ir 0.5000 0.5000 0.5000  12 C 2.79
4 C 0.0000 0.0000 0.5000  2 Pd 1.98
5 C 0.5000 0.0000 0.0000  2 Pd 1.98

ii | A relaxed structure of IrPdC3, computed with PBE-GGA.

Results
Total magnetization in μB per formula unit: 0.00

abc: 3.9764 3.9764 3.9764
angles: 90.00 90.00 90.00
With the nearest neighbours (Å) after each atom.
Fractional positions:
1 C 0.5000 0.0000 0.0000  2 Ir 1.99
2 C 0.0000 0.0000 0.5000  2 Ir 1.99
3 C 0.0000 0.5000 0.0000  2 Ir 1.99
4 Ir 0.0000 0.0000 0.0000  6 C 1.99
5 Pd 0.5000 0.5000 0.5000  12 C 2.81

Relative energy of each structure, in kJ/mol of atoms: i 82.2; ii 0.0.

i | A relaxed structure of IrPd3C, computed with PBE-GGA.

Results
Total magnetization in μB per formula unit: 0.00

abc: 4.1235 4.1235 4.1235
angles: 90.00 90.00 90.00
With the nearest neighbours (Å) after each atom.
Fractional positions:
1 Pd 0.0000 0.0000 0.5000  2 C 2.06
2 Pd 0.0000 0.5000 0.0000  2 C 2.06
3 Ir 0.5000 0.5000 0.5000  12 Pd 2.92
4 Pd 0.5000 0.0000 0.0000  2 C 2.06
5 C 0.0000 0.0000 0.0000  6 Pd 2.06

ii | A relaxed structure of IrPd3C, computed with PBE-GGA.

Results
Total magnetization in μB per formula unit: 2.70

abc: 4.8409 4.8409 4.8409
angles: 90.00 90.00 90.00
With the nearest neighbours (Å) after each atom.
Fractional positions:
1 Ir 0.0000 0.0000 0.0000  6 Pd 2.42
2 Pd 0.0000 0.5000 0.0000  2 Ir 2.42
3 C 0.5000 0.5000 0.5000  12 Pd 3.42
4 Pd 0.0000 0.0000 0.5000  2 Ir 2.42
5 Pd 0.5000 0.0000 0.0000  2 Ir 2.42

Relative energy of each structure, in kJ/mol of atoms: i 0.0; ii 174.2.

i | A relaxed structure of IrPt3C, computed with PBE-GGA.

Results
Total magnetization in μB per formula unit: 1.93

abc: 4.8410 4.8410 4.8410
angles: 90.00 90.00 90.00
With the nearest neighbours (Å) after each atom.
Fractional positions:
1 Ir 0.0000 0.0000 0.0000  6 Pt 2.42
2 C 0.5000 0.5000 0.5000  12 Pt 3.42
3 Pt 0.5000 0.0000 0.0000  2 Ir 2.42
4 Pt 0.0000 0.5000 0.0000  2 Ir 2.42
5 Pt 0.0000 0.0000 0.5000  2 Ir 2.42

ii | A relaxed structure of IrPt3C, computed with PBE-GGA.

Results
Total magnetization in μB per formula unit: 0.00

abc: 4.1575 4.1575 4.1575
angles: 90.00 90.00 90.00
With the nearest neighbours (Å) after each atom.
Fractional positions:
1 Pt 0.0000 0.0000 0.5000  2 C 2.08
2 Ir 0.5000 0.5000 0.5000  12 Pt 2.94
3 Pt 0.0000 0.5000 0.0000  2 C 2.08
4 Pt 0.5000 0.0000 0.0000  2 C 2.08
5 C 0.0000 0.0000 0.0000  6 Pt 2.08

Relative energy of each structure, in kJ/mol of atoms: i 187.8; ii 0.0.